[1]
Entry from Alexandria via LeMat-Bulk: a geometry-optimized TeIrAu2 structure (PBEsol).

- total magnetization (μB/f.u.) = 0.239
- electronic total energy (Ry/atom) = -0.349

a = 2.971 Å, b = 2.971 Å, c = 8.465 Å
α = 90.00°, β = 90.00°, γ = 90.00°
Space group P4/mmm (No. 123)
Inequivalent atoms, fractional coordinates:
Te 0.000 0.000 0.000 x1
Ir 0.000 0.000 0.500 x1
Au 0.500 0.500 0.285 x2

[2]
Entry from Alexandria via LeMat-Bulk: a geometry-optimized ZrScAu2 structure (PBEsol).

- polymorph energy (0 for the lowest one) (meV per atom) = 12
- total magnetization (μB/f.u.) = 0.001
- formation energy (meV per atom) = -666
- electronic total energy (Ry/atom) = -0.482

a = 3.239 Å, b = 3.239 Å, c = 7.198 Å
α = 90.00°, β = 90.00°, γ = 90.00°
Space group P4/mmm (No. 123)
Inequivalent atoms, fractional coordinates:
Zr 0.000 0.000 0.000 x1
Sc 0.000 0.000 0.500 x1
Au 0.500 0.500 0.266 x2

[3]
Entry from Alexandria via LeMat-Bulk: a geometry-optimized CaSi2Ir structure (PBEsol).

- total magnetization (μB/f.u.) = 0.000
- electronic total energy (Ry/atom) = -0.481

a = 4.0459 Å, b = 4.0459 Å, c = 15.9517 Å
α = 90.00°, β = 90.00°, γ = 120.00°
Space group R3m (No. 160, hexagonal axes)
Inequivalent atoms, fractional coordinates:
Ca 0.0000 0.0000 0.0000 x3
Si 0.0000 0.0000 0.5501 x3
Si 0.0000 0.0000 0.7952 x3
Ir 0.0000 0.0000 0.1874 x3

[4]
Entry from Alexandria via LeMat-Bulk: a geometry-optimized MgZn2Hg structure (PBEsol).

- polymorph energy (0 for the lowest one) (meV per atom) = 16
- total magnetization (μB/f.u.) = 0.000
- formation energy (meV per atom) = -47
- electronic total energy (Ry/atom) = -0.104

a = 3.202 Å, b = 4.260 Å, c = 5.419 Å
α = 90.00°, β = 105.83°, γ = 90.00°
Space group Pm (No. 6)
Inequivalent atoms, fractional coordinates:
Mg 0.000 0.000 0.000 x1
Zn 0.596 0.500 0.211 x1
Zn 0.724 0.000 0.464 x1
Hg 0.337 0.500 0.688 x1

[5]
Entry from Alexandria via LeMat-Bulk: a geometry-optimized Sr3RuPt structure (PBEsol).

- total magnetization (μB/f.u.) = 1.730
- formation energy (meV per atom) = 527
- electronic total energy (Ry/atom) = -0.294

a = 5.626 Å, b = 5.626 Å, c = 5.626 Å
α = 90.00°, β = 90.00°, γ = 90.00°
Space group Pm-3m (No. 221)
Inequivalent atoms, fractional coordinates:
Sr 0.000 0.000 0.500 x3
Ru 0.500 0.500 0.500 x1
Pt 0.000 0.000 0.000 x1

[6]
Entry from Alexandria via LeMat-Bulk: a geometry-optimized YHoHg2 structure (PBEsol).

- total magnetization (μB/f.u.) = 0.002
- formation energy (meV per atom) = -594
- electronic total energy (Ry/atom) = -0.281

a = 7.299 Å, b = 7.299 Å, c = 7.299 Å
α = 90.00°, β = 90.00°, γ = 90.00°
Space group Fm-3m (No. 225)
Inequivalent atoms, fractional coordinates:
Y 0.000 0.000 0.000 x4
Ho 0.000 0.000 0.500 x4
Hg 0.250 0.250 0.250 x8

Which of these has the highest electronic total energy? MgZn2Hg

What did the second record say?
Entry from Alexandria via LeMat-Bulk: a geometry-optimized ZrScAu2 structure (PBEsol).

- polymorph energy (0 for the lowest one) (meV per atom) = 12
- total magnetization (μB/f.u.) = 0.001
- formation energy (meV per atom) = -666
- electronic total energy (Ry/atom) = -0.482

a = 3.239 Å, b = 3.239 Å, c = 7.198 Å
α = 90.00°, β = 90.00°, γ = 90.00°
Space group P4/mmm (No. 123)
Inequivalent atoms, fractional coordinates:
Zr 0.000 0.000 0.000 x1
Sc 0.000 0.000 0.500 x1
Au 0.500 0.500 0.266 x2